An optimized crystal structure of La4Pr2Er5. Source: Alexandria, functional PBE.

- VASP energy (eV per atom) = -4.641
- size of the total moment (μB per formula unit) = 0.0

```
data_La4Pr2Er5
_chemical_formula_sum 'La4 Pr2 Er5'
_cell_length_a 5.759
_cell_length_b 6.745
_cell_length_c 10.105
_cell_angle_alpha 90.55
_cell_angle_beta 106.56
_cell_angle_gamma 90.00
_space_group_name_H-M_alt 'P 1'
_space_group_IT_number 1
loop_
_space_group_symop_operation_xyz
'x,y,z'
loop_
_atom_site_label
_atom_site_type_symbol
_atom_site_fract_x
_atom_site_fract_y
_atom_site_fract_z
_atom_site_occupancy
La1 La 0.694 0.082 0.388 1
Er1 Er 0.790 0.598 0.579 1
Er2 Er 0.210 0.402 0.421 1
La2 La 0.306 0.918 0.612 1
Er3 Er 0.869 0.116 0.738 1
Pr1 Pr 0.600 0.559 0.201 1
Er4 Er 0.131 0.884 0.262 1
La3 La 0.022 0.288 0.043 1
Pr2 Pr 0.400 0.441 0.799 1
La4 La 0.978 0.712 0.957 1
Er5 Er 0.500 0.000 0.000 1
```